(1)
Material: CsCoS2
Method: DFT, PBE
State: optimized geometry

## Properties
final energy = -18.2 eV per formula unit
size of the total moment = 0.00 μB per atom

Geometry as CIF:
```
data_CsCoS2
_cell_length_a 3.6175
_cell_length_b 3.6175
_cell_length_c 22.0580
_cell_angle_alpha 90.00
_cell_angle_beta 90.00
_cell_angle_gamma 120.00
_space_group_name_H-M_alt 'R -3 m'
_space_group_IT_number 166
_space_group_name_Hall '-R 3 2"'
loop_
_atom_site_label
_atom_site_fract_x
_atom_site_fract_y
_atom_site_fract_z
Cs1 0.0000 0.0000 0.0000
Co1 0.0000 0.0000 0.5000
S1 0.0000 0.0000 0.2142
```

***

(2)
Material: PmAuSeO
Method: DFT, PBE
State: optimized geometry

## Properties
polymorph energy (0 for the lowest one) = 0.088 eV per atom
size of the total moment = 0.00 μB per atom

Geometry as CIF:
```
data_PmAuSeO
_cell_length_a 4.038
_cell_length_b 4.038
_cell_length_c 9.373
_cell_angle_alpha 90.00
_cell_angle_beta 90.00
_cell_angle_gamma 90.00
_space_group_name_H-M_alt 'P 4/n m m'
_space_group_IT_number 129
loop_
_space_group_symop_operation_xyz
'x,y,z'
'-x,-y,-z'
'-y+1/2,x,z'
'y+1/2,-x,-z'
'-x+1/2,-y+1/2,z'
'x+1/2,y+1/2,-z'
'y,-x+1/2,z'
'-y,x+1/2,-z'
'x+1/2,-y,-z'
'-x+1/2,y,z'
'-y,-x,-z'
'y,x,z'
'-x,y+1/2,-z'
'x,-y+1/2,z'
'y+1/2,x+1/2,-z'
'-y+1/2,-x+1/2,z'
loop_
_atom_site_label
_atom_site_fract_x
_atom_site_fract_y
_atom_site_fract_z
Pm1 0.250 0.250 0.125
Au1 0.250 0.750 0.500
Se1 0.250 0.250 0.712
O1 0.250 0.750 0.000
```

***

(3)
Material: ScTl2HgI6
Method: DFT, PBE
State: optimized geometry

## Properties
final energy = -27.1 eV per formula unit
size of the total moment = 0.00 μB per atom

Geometry as CIF:
```
data_ScTl2HgI6
_cell_length_a 11.966
_cell_length_b 11.966
_cell_length_c 11.966
_cell_angle_alpha 90.00
_cell_angle_beta 90.00
_cell_angle_gamma 90.00
_space_group_name_H-M_alt 'F m -3 m'
_space_group_IT_number 225
_space_group_name_Hall '-F 4 2 3'
loop_
_atom_site_label
_atom_site_fract_x
_atom_site_fract_y
_atom_site_fract_z
Sc1 0.000 0.000 0.000
Tl1 0.250 0.250 0.250
Hg1 0.000 0.000 0.500
I1 0.000 0.000 0.240
```

***

(4)
Material: TbEr3Sn2C2
Method: DFT, PBE
State: optimized geometry

## Properties
final energy = -49.3 eV per formula unit
size of the total moment = 0.00 μB per atom

Geometry as CIF:
```
data_TbEr3Sn2C2
_cell_length_a 3.5977
_cell_length_b 3.5977
_cell_length_c 15.7766
_cell_angle_alpha 90.00
_cell_angle_beta 90.00
_cell_angle_gamma 120.00
_space_group_name_H-M_alt 'P 3 m 1'
_space_group_IT_number 156
_space_group_name_Hall 'P 3 -2"'
loop_
_atom_site_label
_atom_site_fract_x
_atom_site_fract_y
_atom_site_fract_z
Tb1 0.0000 0.0000 0.0000
Er1 0.0000 0.0000 0.3322
Er2 0.3333 0.6667 0.4994
Er3 0.3333 0.6667 0.8303
Sn1 0.0000 0.0000 0.6649
Sn2 0.3333 0.6667 0.1677
C1 0.6667 0.3333 0.4159
C2 0.6667 0.3333 0.9137
```

***

(5)
Material: CsTaTl
Method: DFT, PBE
State: optimized geometry

## Properties
final energy = -9.9 eV per formula unit
size of the total moment = 0.36 μB per atom

Geometry as CIF:
```
data_CsTaTl
_cell_length_a 7.302
_cell_length_b 7.302
_cell_length_c 7.302
_cell_angle_alpha 90.00
_cell_angle_beta 90.00
_cell_angle_gamma 90.00
_space_group_name_H-M_alt 'F -4 3 m'
_space_group_IT_number 216
_space_group_name_Hall 'F -4 2 3'
loop_
_atom_site_label
_atom_site_fract_x
_atom_site_fract_y
_atom_site_fract_z
Cs1 0.000 0.000 0.000
Ta1 0.250 0.250 0.250
Tl1 0.000 0.000 0.500
```

***

(6)
Material: LiMgPa
Method: DFT, PBE
State: optimized geometry

## Properties
polymorph energy (0 for the lowest one) = 0.000 eV per atom
size of the total moment = 0.55 μB per atom

Geometry as CIF:
```
data_LiMgPa
_cell_length_a 6.692
_cell_length_b 6.692
_cell_length_c 6.692
_cell_angle_alpha 90.00
_cell_angle_beta 90.00
_cell_angle_gamma 90.00
_space_group_name_H-M_alt 'F -4 3 m'
_space_group_IT_number 216
_space_group_name_Hall 'F -4 2 3'
loop_
_atom_site_label
_atom_site_fract_x
_atom_site_fract_y
_atom_site_fract_z
Li1 0.000 0.000 0.000
Mg1 0.250 0.250 0.750
Pa1 0.250 0.250 0.250
```

***

- Which value of size of the total moment does entry 1 give?
  0.00 μB per atom